1.
TiBe2InSe PBE-GGA relaxed; formation energy from raw total energies = 0.9006 eV/atom; ρ = 4.27 Mg/m³; M_tot = 0.0 μB per formula unit
1.0
-0.736 3.403 -2.338
-3.795 1.857 3.897
3.063 2.043 2.009
Be In Se Ti
2 1 1 1
Cartesian
-0.368 1.701 -1.169
1.531 1.021 1.004
-1.897 0.929 1.948
0.000 0.000 0.000
-0.734 3.651 1.783

2.
BeTlIn2Se PBE-GGA relaxed; formation energy from raw total energies = 0.1446 eV/atom; ρ = 6.82 Mg/m³; M_tot = 0.0 μB per formula unit
1.0
4.919 0.000 0.000
0.000 5.253 0.000
0.000 0.000 4.919
In Be Se Tl
2 1 1 1
Cartesian
2.459 0.000 0.000
0.000 0.000 2.459
0.000 0.000 0.000
0.000 2.627 0.000
2.459 2.627 2.459